(1)
A relaxed structure of HoZn3Au2. Source: Alexandria via LeMat-Bulk, functional PBE.

Cell: 4.103 6.733 8.629 Å, 108.07 103.75 90.00°
Positions (direct):
Zn  0.926  0.365  0.852
Zn  0.364  0.510  0.728
Zn  0.636  0.490  0.272
Au  0.759  0.318  0.519
Au  0.241  0.682  0.481
Au  0.519  0.802  0.037
Ho  0.888  0.851  0.775
Au  0.481  0.198  0.963
Ho  0.112  0.149  0.225
Zn  0.307  0.097  0.614
Zn  0.693  0.903  0.386
Zn  0.074  0.635  0.148

Properties
- Energy: -2.946 eV/atom
- Energy relative to the elements: -0.45 eV/atom



(2)
A relaxed structure of HoZn3Au2. Source: Alexandria via LeMat-Bulk, functional PBE.

Cell: 4.196 7.329 8.570 Å, 116.63 90.00 106.64°
Positions (direct):
Au  0.452  0.903  0.814
Zn  0.593  0.185  0.694
Ho  0.863  0.725  0.986
Zn  0.946  0.891  0.605
Au  0.220  0.441  0.742
Zn  0.293  0.585  0.475
Au  0.548  0.097  0.186
Zn  0.707  0.415  0.525
Zn  0.407  0.815  0.306
Ho  0.137  0.275  0.014
Au  0.780  0.559  0.258
Zn  0.054  0.109  0.395

Properties
- Energy: -2.931 eV/atom
- Energy relative to the elements: -0.44 eV/atom



(3)
A relaxed structure of Ho3Zn2Au. Source: Alexandria via LeMat-Bulk, functional PBE.

Cell: 3.571 3.571 10.608 Å, 90.00 90.00 90.00°
Positions (direct):
Zn  0.500  0.500  0.839
Zn  0.500  0.500  0.161
Ho  0.000  0.000  0.669
Au  0.500  0.500  0.500
Ho  0.000  0.000  0.331
Ho  0.000  0.000  0.000

Properties
- Energy: -3.791 eV/atom
- ΔE to the lowest computed polymorph: 0.00 eV/f.u.
- Energy relative to the elements: -0.53 eV/atom



(4)
A relaxed structure of Ho2ZnAu2. Source: Alexandria via LeMat-Bulk, functional PBE.

Cell: 3.889 6.462 9.082 Å, 90.00 102.36 90.00°
Positions (direct):
Ho  0.997  0.800  0.995
Zn  0.608  0.582  0.216
Ho  0.791  0.379  0.582
Ho  0.003  0.300  0.005
Au  0.830  0.844  0.660
Au  0.410  0.529  0.820
Au  0.170  0.344  0.340
Zn  0.392  0.082  0.784
Ho  0.209  0.879  0.418
Au  0.590  0.029  0.180

Properties
- Energy: -4.029 eV/atom
- Energy relative to the elements: -0.63 eV/atom



(5)
A relaxed structure of Ho4ZnAu2. Source: Alexandria via LeMat-Bulk, functional PBE.

Cell: 5.008 5.008 8.634 Å, 73.14 73.14 60.00°
Positions (direct):
Ho  0.126  0.126  0.622
Ho  0.377  0.377  0.869
Zn  0.000  0.000  0.000
Ho  0.874  0.874  0.378
Au  0.751  0.751  0.748
Au  0.249  0.249  0.252
Ho  0.623  0.623  0.131

Properties
- Energy: -4.283 eV/atom
- Energy relative to the elements: -0.55 eV/atom



(6)
A relaxed structure of Ho5Zn4Au. Source: Alexandria via LeMat-Bulk, functional PBE.

Cell: 3.570 3.570 17.656 Å, 90.00 90.00 90.00°
Positions (direct):
Ho  0.500  0.500  0.899
Ho  0.500  0.500  0.101
Zn  0.000  0.000  0.203
Zn  0.000  0.000  0.400
Ho  0.500  0.500  0.700
Ho  0.500  0.500  0.300
Au  0.000  0.000  0.000
Zn  0.000  0.000  0.797
Zn  0.000  0.000  0.600
Ho  0.500  0.500  0.500

Properties
- Energy: -3.580 eV/atom
- Energy relative to the elements: -0.45 eV/atom



(7)
A relaxed structure of HoZn2Au2. Source: Alexandria via LeMat-Bulk, functional PBE.

Cell: 4.259 7.413 12.176 Å, 90.00 90.00 90.00°
Positions (direct):
Zn  0.750  0.964  0.439
Ho  0.750  0.871  0.188
Zn  0.250  0.036  0.561
Zn  0.750  0.464  0.061
Au  0.250  0.574  0.172
Au  0.750  0.926  0.672
Zn  0.750  0.293  0.626
Au  0.750  0.629  0.502
Zn  0.250  0.207  0.126
Au  0.250  0.371  0.498
Zn  0.250  0.536  0.939
Zn  0.750  0.793  0.874
Ho  0.250  0.129  0.812
Au  0.750  0.426  0.828
Ho  0.250  0.629  0.688
Au  0.250  0.871  0.002
Au  0.750  0.129  0.998
Zn  0.250  0.707  0.374
Ho  0.750  0.371  0.312
Au  0.250  0.074  0.328

Properties
- Energy: -3.271 eV/atom
- ΔE to the lowest computed polymorph: 0.00 eV/f.u.
- Energy relative to the elements: -0.54 eV/atom



(8)
A relaxed structure of HoZn9Au2. Source: Alexandria via LeMat-Bulk, functional PBE.

Cell: 6.918 8.340 8.340 Å, 80.10 65.50 65.50°
Positions (direct):
Zn  0.666  0.587  0.172
Au  0.375  0.750  0.750
Zn  0.000  0.000  0.000
Zn  0.425  0.828  0.413
Au  0.875  0.250  0.750
Zn  0.325  0.672  0.087
Zn  0.162  0.172  0.413
Zn  0.750  0.500  0.500
Zn  0.084  0.913  0.328
Zn  0.588  0.328  0.087
Ho  0.250  0.500  0.500
Zn  0.325  0.087  0.672
Zn  0.666  0.172  0.587
Zn  0.747  0.587  0.828
Zn  0.747  0.828  0.587
Zn  0.084  0.328  0.913
Au  0.875  0.750  0.250
Ho  0.500  0.000  0.000
Au  0.875  0.250  0.250
Zn  0.425  0.413  0.828
Zn  0.588  0.087  0.328
Zn  0.003  0.913  0.672
Zn  0.162  0.413  0.172
Zn  0.003  0.672  0.913

Properties
- Energy: -2.143 eV/atom
- ΔE to the lowest computed polymorph: 0.00 eV/f.u.
- Energy relative to the elements: -0.26 eV/atom



(9)
A relaxed structure of HoZrZnAu. Source: Alexandria via LeMat-Bulk, functional PBE.

Cell: 4.932 4.932 4.932 Å, 60.00 60.00 60.00°
Last column: magnetic moment on the atom in μB.
Positions (direct):
Zr  0.250  0.250  0.250  0.42
Ho  0.750  0.750  0.750  0.20
Au  0.500  0.500  0.500  0.04
Zn  0.000  0.000  0.000  0.00

Properties
- Energy: -4.827 eV/atom
- Energy relative to the elements: -0.41 eV/atom



(10)
A relaxed structure of Ho2ZrAu. Source: Alexandria via LeMat-Bulk, functional PBE.

Cell: 3.445 3.445 8.399 Å, 90.00 90.00 90.00°
Positions (direct):
Au  0.500  0.500  0.000
Ho  0.000  0.000  0.228
Ho  0.000  0.000  0.772
Zr  0.500  0.500  0.500

Properties
- Energy: -5.631 eV/atom
- Energy relative to the elements: -0.39 eV/atom



(11)
A relaxed structure of HoZrAu2. Source: Alexandria via LeMat-Bulk, functional PBE.

Cell: 3.753 3.753 8.087 Å, 76.58 76.58 60.00°
Positions (direct):
Ho  0.500  0.500  0.500
Zr  0.000  0.000  0.000
Au  0.255  0.255  0.236
Au  0.745  0.745  0.764

Properties
- Energy: -5.381 eV/atom
- ΔE to the lowest computed polymorph: 0.70 eV/f.u.
- Energy relative to the elements: -0.46 eV/atom



(12)
A relaxed structure of HoZrAu2. Source: Alexandria via LeMat-Bulk, functional PBE.

Cell: 4.963 4.963 4.963 Å, 60.00 60.00 60.00°
Last column: magnetic moment on the atom in μB.
Positions (direct):
Au  0.750  0.750  0.750  0.03
Zr  0.500  0.500  0.500  0.27
Au  0.250  0.250  0.250  0.03
Ho  0.000  0.000  0.000  0.11

Properties
- Energy: -5.522 eV/atom
- ΔE to the lowest computed polymorph: 0.13 eV/f.u.
- Energy relative to the elements: -0.60 eV/atom